Record 1
Density functional theory data (PBE) for a geometry-optimized AcAlAu structure.

Unit cell a=4.9408 b=4.9408 c=4.9408 alpha=60.00 beta=60.00 gamma=60.00
Sites, in units of the cell vectors:
Ac: 0.2500 0.2500 0.2500
Al: 0.0000 0.0000 0.0000
Au: 0.7500 0.7500 0.7500

Summary:
The value obtained for the distance to the lowest polymorph of the same formula is 0.000 eV per atom. The value obtained for the total energy is -3.910 eV per atom. Its space group is No. 216.

Record 2
Density functional theory data (PBE) for a geometry-optimized AcAlCd structure.

Unit cell a=5.3073 b=5.3073 c=5.3073 alpha=60.00 beta=60.00 gamma=60.00
Sites, in units of the cell vectors:
Ac: 0.0000 0.0000 0.0000
Al: 0.2500 0.2500 0.2500
Cd: 0.7500 0.7500 0.7500

Summary:
The value obtained for the distance to the lowest polymorph of the same formula is 0.448 eV per atom. The value obtained for the total energy is -2.626 eV per atom. Its space group is No. 216.

Record 3
Density functional theory data (PBE) for a geometry-optimized AcAlCo structure.

Unit cell a=4.9582 b=4.9582 c=4.9582 alpha=60.00 beta=60.00 gamma=60.00
Sites, in units of the cell vectors:
Ac: 0.0000 0.0000 0.0000
Al: 0.2500 0.2500 0.2500
Co: 0.7500 0.7500 0.7500

Summary:
The value obtained for the distance to the lowest polymorph of the same formula is 0.428 eV per atom. The value obtained for the total energy is -4.052 eV per atom. Its space group is No. 216.

Record 4
Density functional theory data (PBE) for a geometry-optimized AcAlCo structure.

Unit cell a=4.7709 b=4.7709 c=4.7709 alpha=60.00 beta=60.00 gamma=60.00
Sites, in units of the cell vectors:
Ac: 0.7500 0.7500 0.7500
Al: 0.0000 0.0000 0.0000
Co: 0.2500 0.2500 0.2500

Summary:
The value obtained for the distance to the lowest polymorph of the same formula is 0.000 eV per atom. The value obtained for the total energy is -4.480 eV per atom. Its space group is No. 216.

Record 5
Density functional theory data (PBE) for a geometry-optimized AcAl2Cu3 structure.

Unit cell a=6.5008 b=6.5008 c=5.2898 alpha=90.00 beta=90.00 gamma=77.22
Sites, in units of the cell vectors:
Ac: 0.6835 0.3165 0.2500
Ac: 0.3165 0.6835 0.7500
Al: 0.2041 0.2041 0.0000
Al: 0.7959 0.7959 0.0000
Al: 0.2041 0.2041 0.5000
Al: 0.7959 0.7959 0.5000
Cu: 0.0877 0.5345 0.2500
Cu: 0.4655 0.9123 0.2500
Cu: 0.0750 0.9250 0.2500
Cu: 0.9250 0.0750 0.7500
Cu: 0.5345 0.0877 0.7500
Cu: 0.9123 0.4655 0.7500

Summary:
The value obtained for the total energy is -4.128 eV per atom. Its space group is No. 63.

Record 6
Density functional theory data (PBE) for a geometry-optimized AcAl5Cu2 structure.

Unit cell a=6.4603 b=6.4603 c=6.4603 alpha=143.06 beta=112.00 gamma=79.99
Sites, in units of the cell vectors:
Ac: 0.0000 0.0000 0.0000
Al: 0.5327 0.3464 0.1864
Al: 0.8400 0.6536 0.1864
Al: 0.5000 0.0000 0.5000
Al: 0.1600 0.3464 0.8136
Al: 0.4673 0.6536 0.8136
Cu: 0.7420 0.2420 0.5000
Cu: 0.2580 0.7580 0.5000

Summary:
The value obtained for the total energy is -4.131 eV per atom. Its space group is No. 71.

Record 7
Density functional theory data (PBE) for a geometry-optimized AcAl3Cu2 structure.

Unit cell a=6.7308 b=6.7308 c=5.1690 alpha=90.00 beta=90.00 gamma=74.95
Sites, in units of the cell vectors:
Ac: 0.1636 0.8364 0.2500
Ac: 0.8364 0.1636 0.7500
Al: 0.5809 0.0282 0.2500
Al: 0.9718 0.4191 0.2500
Al: 0.5701 0.4299 0.2500
Al: 0.4299 0.5701 0.7500
Al: 0.0282 0.5809 0.7500
Al: 0.4191 0.9718 0.7500
Cu: 0.2986 0.2986 0.0000
Cu: 0.7014 0.7014 0.0000
Cu: 0.2986 0.2986 0.5000
Cu: 0.7014 0.7014 0.5000

Summary:
The value obtained for the total energy is -4.147 eV per atom. Its space group is No. 63.

Record 8
Density functional theory data (PBE) for a geometry-optimized AcDyAl structure.

Unit cell a=5.3645 b=5.3645 c=5.3645 alpha=60.00 beta=60.00 gamma=60.00
Sites, in units of the cell vectors:
Ac: 0.0000 0.0000 0.0000
Al: 0.2500 0.2500 0.2500
Dy: 0.7500 0.7500 0.7500

Summary:
The value obtained for the distance to the lowest polymorph of the same formula is 0.622 eV per atom. The value obtained for the total energy is -3.508 eV per atom. Its space group is No. 216.